# 1
Here is a geometry-optimized LiTmNpO6 structure from Alexandria via LeMat-Bulk. Energies are from PBE.

Properties
calculated total energy = -7.969 eV/atom
calculated volume = 245.4 Å³/cell

Geometry as CIF:
```
data_LiTmNpO6
_chemical_formula_sum 'Li2 Tm2 Np2 O12'
_cell_length_a 4.996
_cell_length_b 4.996
_cell_length_c 9.832
_cell_angle_alpha 90.00
_cell_angle_beta 90.00
_cell_angle_gamma 90.00
_symmetry_space_group_name_H-M 'P 1'
_symmetry_Int_Tables_number 1
_symmetry_space_group_name_Hall 'P 1'
loop_
_atom_site_label
_atom_site_type_symbol
_atom_site_fract_x
_atom_site_fract_y
_atom_site_fract_z
O1 O 0.815 0.185 0.484
O2 O 0.215 0.785 0.833
Li1 Li 0.000 0.000 0.004
Np1 Np 0.000 0.000 0.332
O3 O 0.687 0.687 0.679
Li2 Li 0.500 0.500 0.504
O4 O 0.315 0.315 0.984
Tm1 Tm 0.500 0.500 0.172
O5 O 0.715 0.715 0.333
O6 O 0.685 0.685 0.984
Np2 Np 0.500 0.500 0.832
O7 O 0.785 0.215 0.833
O8 O 0.285 0.285 0.333
Tm2 Tm 0.000 0.000 0.672
O9 O 0.187 0.813 0.179
O10 O 0.813 0.187 0.179
O11 O 0.313 0.313 0.679
O12 O 0.185 0.815 0.484
```



# 2
Here is a geometry-optimized Li2TmNpO6 structure from Alexandria via LeMat-Bulk. Energies are from PBE.

Properties
calculated total energy = -7.813 eV/atom
calculated volume = 124.4 Å³/cell

Geometry as CIF:
```
data_Li2TmNpO6
_chemical_formula_sum 'Li2 Tm1 Np1 O6'
_cell_length_a 5.392
_cell_length_b 5.392
_cell_length_c 5.839
_cell_angle_alpha 62.51
_cell_angle_beta 62.50
_cell_angle_gamma 60.00
_symmetry_space_group_name_H-M 'P 1'
_symmetry_Int_Tables_number 1
_symmetry_space_group_name_Hall 'P 1'
loop_
_atom_site_label
_atom_site_type_symbol
_atom_site_fract_x
_atom_site_fract_y
_atom_site_fract_z
O1 O 0.219 0.944 0.260
O2 O 0.576 0.219 0.261
O3 O 0.410 0.700 0.792
O4 O 0.099 0.409 0.792
Li1 Li 0.026 0.025 0.924
Tm1 Tm 0.816 0.816 0.552
Np1 Np 0.321 0.321 0.037
Li2 Li 0.551 0.551 0.346
O5 O 0.700 0.099 0.792
O6 O 0.944 0.576 0.260
```



# 3
Here is a geometry-optimized LiNpUO6 structure from Alexandria via LeMat-Bulk. Energies are from PBE.

Properties
calculated total energy = -9.038 eV/atom
calculated volume = 238.3 Å³/cell

Geometry as CIF:
```
data_LiNpUO6
_chemical_formula_sum 'Li2 Np2 U2 O12'
_cell_length_a 5.329
_cell_length_b 5.329
_cell_length_c 9.689
_cell_angle_alpha 90.00
_cell_angle_beta 90.00
_cell_angle_gamma 120.00
_symmetry_space_group_name_H-M 'P 1'
_symmetry_Int_Tables_number 1
_symmetry_space_group_name_Hall 'P 1'
loop_
_atom_site_label
_atom_site_type_symbol
_atom_site_fract_x
_atom_site_fract_y
_atom_site_fract_z
O1 O 0.332 0.319 0.372
O2 O 0.668 0.987 0.872
O3 O 0.013 0.681 0.872
O4 O 0.668 0.681 0.628
U1 U 0.000 0.000 0.500
Np1 Np 0.333 0.667 0.750
O5 O 0.319 0.332 0.872
Li1 Li 0.333 0.667 0.250
O6 O 0.987 0.668 0.372
O7 O 0.681 0.668 0.128
U2 U 0.000 0.000 0.000
O8 O 0.987 0.319 0.128
Li2 Li 0.667 0.333 0.750
O9 O 0.681 0.013 0.372
Np2 Np 0.667 0.333 0.250
O10 O 0.319 0.987 0.628
O11 O 0.332 0.013 0.128
O12 O 0.013 0.332 0.628
```



# 4
Here is a geometry-optimized Li2NpUO8 structure from Alexandria via LeMat-Bulk. Energies are from PBE.

Properties
calculated total energy = -8.086 eV/atom
calculated volume = 153.3 Å³/cell

Geometry as CIF:
```
data_Li2NpUO8
_chemical_formula_sum 'Li2 Np1 U1 O8'
_cell_length_a 4.700
_cell_length_b 4.701
_cell_length_c 6.942
_cell_angle_alpha 90.00
_cell_angle_beta 90.00
_cell_angle_gamma 91.24
_symmetry_space_group_name_H-M 'P 1'
_symmetry_Int_Tables_number 1
_symmetry_space_group_name_Hall 'P 1'
loop_
_atom_site_label
_atom_site_type_symbol
_atom_site_fract_x
_atom_site_fract_y
_atom_site_fract_z
O1 O 0.187 0.812 0.756
O2 O 0.283 0.282 0.000
O3 O 0.288 0.287 0.500
O4 O 0.813 0.188 0.244
O5 O 0.813 0.188 0.756
U1 U 0.000 0.000 0.500
Li1 Li 0.500 0.500 0.747
Np1 Np 0.000 0.000 0.000
O6 O 0.712 0.713 0.500
O7 O 0.717 0.718 0.000
O8 O 0.187 0.812 0.244
Li2 Li 0.500 0.500 0.253
```